# TmSi2Ni2Os PBE relaxed
data_TmSi2Ni2Os
_chemical_formula_sum 'Tm1 Si2 Ni2 Os1'
_cell_length_a 4.495
_cell_length_b 4.495
_cell_length_c 5.307
_cell_angle_alpha 90.00
_cell_angle_beta 90.00
_cell_angle_gamma 90.00
_symmetry_space_group_name_H-M 'P 4/m m m'
_symmetry_Int_Tables_number 123
_symmetry_space_group_name_Hall '-P 4 2'
loop_
_atom_site_label
_atom_site_type_symbol
_atom_site_fract_x
_atom_site_fract_y
_atom_site_fract_z
Tm1 Tm 0.000 0.000 0.000
Si1 Si 0.000 0.500 0.500
Ni1 Ni 0.500 0.500 0.251
Os1 Os 0.000 0.000 0.500
# calculated total energy	-37.9	eV for the cell shown
# formation energy from raw total energies	41	meV per atom

# HoScPd PBE relaxed
data_HoScPd
_chemical_formula_sum 'Ho4 Sc4 Pd4'
_cell_length_a 6.689
_cell_length_b 6.689
_cell_length_c 6.689
_cell_angle_alpha 90.00
_cell_angle_beta 90.00
_cell_angle_gamma 90.00
_symmetry_space_group_name_H-M 'F -4 3 m'
_symmetry_Int_Tables_number 216
_symmetry_space_group_name_Hall 'F -4 2 3'
loop_
_atom_site_label
_atom_site_type_symbol
_atom_site_fract_x
_atom_site_fract_y
_atom_site_fract_z
Ho1 Ho 0.000 0.000 0.000
Sc1 Sc 0.000 0.000 0.500
Pd1 Pd 0.250 0.250 0.250
# calculated total energy	-69.9	eV for the cell shown
# energy above the most stable polymorph in this dataset	174	meV per atom
# formation energy from the elements	-458.6	meV/atom

# LaErScAl PBE relaxed
data_LaErScAl
_chemical_formula_sum 'La4 Er4 Sc4 Al4'
_cell_length_a 7.519
_cell_length_b 7.519
_cell_length_c 7.519
_cell_angle_alpha 90.00
_cell_angle_beta 90.00
_cell_angle_gamma 90.00
_symmetry_space_group_name_H-M 'F -4 3 m'
_symmetry_Int_Tables_number 216
_symmetry_space_group_name_Hall 'F -4 2 3'
loop_
_atom_site_label
_atom_site_type_symbol
_atom_site_fract_x
_atom_site_fract_y
_atom_site_fract_z
La1 La 0.000 0.000 0.000
Er1 Er 0.000 0.000 0.500
Sc1 Sc 0.250 0.250 0.750
Al1 Al 0.250 0.250 0.250
# calculated total energy	-79.9	eV for the cell shown
# formation energy from the elements	-103.2	meV/atom

# Cd2AuSe PBE relaxed
data_Cd2AuSe
_chemical_formula_sum 'Cd2 Au1 Se1'
_cell_length_a 4.031
_cell_length_b 4.031
_cell_length_c 5.795
_cell_angle_alpha 90.00
_cell_angle_beta 90.00
_cell_angle_gamma 90.00
_symmetry_space_group_name_H-M 'P 4/m m m'
_symmetry_Int_Tables_number 123
_symmetry_space_group_name_Hall '-P 4 2'
loop_
_atom_site_label
_atom_site_type_symbol
_atom_site_fract_x
_atom_site_fract_y
_atom_site_fract_z
Cd1 Cd 0.000 0.000 0.000
Cd2 Cd 0.500 0.500 0.500
Au1 Au 0.000 0.000 0.500
Se1 Se 0.500 0.500 0.000
# calculated total energy	-9.4	eV for the cell shown
# formation energy from raw total energies	-193	meV per atom

# Li3Ga3Co2 PBE relaxed
data_Li3Ga3Co2
_chemical_formula_sum 'Li3 Ga3 Co2'
_cell_length_a 6.8769
_cell_length_b 6.8769
_cell_length_c 2.6781
_cell_angle_alpha 90.00
_cell_angle_beta 90.00
_cell_angle_gamma 120.00
_symmetry_space_group_name_H-M 'P -6 2 m'
_symmetry_Int_Tables_number 189
_symmetry_space_group_name_Hall 'P -6 -2'
loop_
_atom_site_label
_atom_site_type_symbol
_atom_site_fract_x
_atom_site_fract_y
_atom_site_fract_z
Li1 Li 0.0000 0.7659 0.0000
Ga1 Ga 0.0000 0.4165 0.5000
Co1 Co 0.3333 0.6667 0.0000
# calculated total energy	-31.2	eV for the cell shown
# formation energy from the elements	-269.3	meV/atom

# Er4MgCd5 PBE relaxed
data_Er4MgCd5
_chemical_formula_sum 'Er4 Mg1 Cd5'
_cell_length_a 3.675
_cell_length_b 3.675
_cell_length_c 18.339
_cell_angle_alpha 90.00
_cell_angle_beta 90.00
_cell_angle_gamma 90.00
_symmetry_space_group_name_H-M 'P 4/m m m'
_symmetry_Int_Tables_number 123
_symmetry_space_group_name_Hall '-P 4 2'
loop_
_atom_site_label
_atom_site_type_symbol
_atom_site_fract_x
_atom_site_fract_y
_atom_site_fract_z
Er1 Er 0.000 0.000 0.103
Er2 Er 0.000 0.000 0.307
Mg1 Mg 0.000 0.000 0.500
Cd1 Cd 0.500 0.500 0.000
Cd2 Cd 0.500 0.500 0.204
Cd3 Cd 0.500 0.500 0.410
# calculated total energy	-27.2	eV for the cell shown
# formation energy from the elements	-276.7	meV/atom

# KCdAs PBE relaxed
data_KCdAs
_chemical_formula_sum 'K2 Cd2 As2'
_cell_length_a 3.970
_cell_length_b 3.970
_cell_length_c 11.976
_cell_angle_alpha 90.00
_cell_angle_beta 90.00
_cell_angle_gamma 90.00
_symmetry_space_group_name_H-M 'I 4 m m'
_symmetry_Int_Tables_number 107
_symmetry_space_group_name_Hall 'I 4 -2'
loop_
_atom_site_label
_atom_site_type_symbol
_atom_site_fract_x
_atom_site_fract_y
_atom_site_fract_z
K1 K 0.000 0.000 0.000
Cd1 Cd 0.000 0.000 0.267
As1 As 0.000 0.000 0.727
# calculated total energy	-14.1	eV for the cell shown
# formation energy from the elements	-126.6	meV/atom

# AcLaSm4 PBE relaxed
data_AcLaSm4
_chemical_formula_sum 'Ac4 La4 Sm16'
_cell_length_a 9.616
_cell_length_b 9.616
_cell_length_c 9.616
_cell_angle_alpha 90.00
_cell_angle_beta 90.00
_cell_angle_gamma 90.00
_symmetry_space_group_name_H-M 'F -4 3 m'
_symmetry_Int_Tables_number 216
_symmetry_space_group_name_Hall 'F -4 2 3'
loop_
_atom_site_label
_atom_site_type_symbol
_atom_site_fract_x
_atom_site_fract_y
_atom_site_fract_z
Ac1 Ac 0.000 0.000 0.000
La1 La 0.250 0.250 0.250
Sm1 Sm 0.124 0.124 0.624
# calculated total energy	-106.1	eV for the cell shown
# energy above the most stable polymorph in this dataset	201	meV per atom
# formation energy from the elements	233.0	meV/atom

# MgPaOsAu PBE relaxed
data_MgPaOsAu
_chemical_formula_sum 'Mg4 Pa4 Os4 Au4'
_cell_length_a 6.816
_cell_length_b 6.816
_cell_length_c 6.816
_cell_angle_alpha 90.00
_cell_angle_beta 90.00
_cell_angle_gamma 90.00
_symmetry_space_group_name_H-M 'F -4 3 m'
_symmetry_Int_Tables_number 216
_symmetry_space_group_name_Hall 'F -4 2 3'
loop_
_atom_site_label
_atom_site_type_symbol
_atom_site_fract_x
_atom_site_fract_y
_atom_site_fract_z
Mg1 Mg 0.000 0.000 0.000
Pa1 Pa 0.000 0.000 0.500
Os1 Os 0.250 0.250 0.250
Au1 Au 0.250 0.250 0.750
# calculated total energy	-105.0	eV for the cell shown
# formation energy from the elements	-163.6	meV/atom

# PaSiTcH2 PBE relaxed
data_PaSiTcH2
_chemical_formula_sum 'Pa4 Si4 Tc4 H8'
_cell_length_a 4.024
_cell_length_b 10.174
_cell_length_c 5.813
_cell_angle_alpha 90.00
_cell_angle_beta 90.00
_cell_angle_gamma 90.00
_symmetry_space_group_name_H-M 'C m c m'
_symmetry_Int_Tables_number 63
_symmetry_space_group_name_Hall '-C 2c 2'
loop_
_atom_site_label
_atom_site_type_symbol
_atom_site_fract_x
_atom_site_fract_y
_atom_site_fract_z
Pa1 Pa 0.000 0.206 0.250
Si1 Si 0.000 0.082 0.750
Tc1 Tc 0.000 0.500 0.000
H1 H 0.000 0.329 0.573
# calculated total energy	-138.2	eV for the cell shown

# VFeCo5 PBE relaxed
data_VFeCo5
_chemical_formula_sum 'V1 Fe1 Co5'
_cell_length_a 3.842
_cell_length_b 3.842
_cell_length_c 5.715
_cell_angle_alpha 90.00
_cell_angle_beta 90.00
_cell_angle_gamma 90.00
_symmetry_space_group_name_H-M 'P 4/m m m'
_symmetry_Int_Tables_number 123
_symmetry_space_group_name_Hall '-P 4 2'
loop_
_atom_site_label
_atom_site_type_symbol
_atom_site_fract_x
_atom_site_fract_y
_atom_site_fract_z
V1 V 0.000 0.000 0.000
Fe1 Fe 0.500 0.500 0.500
Co1 Co 0.000 0.500 0.266
Co2 Co 0.500 0.500 0.000
# calculated total energy	-51.9	eV for the cell shown
# formation energy from the elements	172.3	meV/atom

# ZnCu4Pt5 PBE relaxed
data_ZnCu4Pt5
_chemical_formula_sum 'Zn1 Cu4 Pt5'
_cell_length_a 2.813
_cell_length_b 2.813
_cell_length_c 17.744
_cell_angle_alpha 90.00
_cell_angle_beta 90.00
_cell_angle_gamma 90.00
_symmetry_space_group_name_H-M 'P 4/m m m'
_symmetry_Int_Tables_number 123
_symmetry_space_group_name_Hall '-P 4 2'
loop_
_atom_site_label
_atom_site_type_symbol
_atom_site_fract_x
_atom_site_fract_y
_atom_site_fract_z
Zn1 Zn 0.000 0.000 0.000
Cu1 Cu 0.000 0.000 0.202
Cu2 Cu 0.000 0.000 0.401
Pt1 Pt 0.500 0.500 0.102
Pt2 Pt 0.500 0.500 0.301
Pt3 Pt 0.500 0.500 0.500
# calculated total energy	-50.2	eV for the cell shown
# formation energy from the elements	-230.2	meV/atom